(1)
A geometry-optimized IrRhS structure, computed with GGA-PBE.

Fermi-level density of states	3.42	states/eV/f.u.
formation energy without anion corrections	297	meV/atom
total energy	-19.45	eV/f.u.

Structure (POSCAR):
```
IrRhS
1.0
-2.9104 2.5826 -0.2549
1.2083 -1.7745 -1.9490
-6.8473 -7.4645 2.5513
Rh Ir S
2 2 2
Cartesian
-4.7591 -5.2804 0.8372
-2.3014 -2.6012 -0.0786
-0.1324 -0.2591 -1.1133
-4.9889 -2.6562 0.2231
-7.1929 -5.0158 1.4812
-2.6853 -0.1019 -0.1984
```

(2)
A geometry-optimized IrRh2S structure, computed with GGA-PBE.

Fermi-level density of states	7.81	states/eV/f.u.
formation energy without anion corrections	498	meV/atom
ΔE to the lowest computed polymorph	13	meV per atom
total energy	-25.70	eV/f.u.

Structure (POSCAR):
```
IrRh2S
1.0
0.0000 3.0757 3.0757
3.0757 0.0000 3.0757
3.0757 3.0757 0.0000
Rh S Ir
2 1 1
Cartesian
1.5379 1.5379 1.5379
4.6136 4.6136 4.6136
0.0000 0.0000 0.0000
3.0757 3.0757 3.0757
```

(3)
A geometry-optimized SnIr2RhS structure, computed with GGA-PBE.

Fermi-level density of states	6.21	states/eV/f.u.
formation energy without anion corrections	1937	meV/atom
total energy	-23.52	eV/f.u.

Structure (POSCAR):
```
SnIr2RhS
1.0
4.8934 0.0000 0.0000
0.0000 4.8796 0.0000
0.0000 0.0000 4.8934
Sn Rh Ir S
1 1 2 1
Cartesian
0.0000 0.0000 0.0000
2.4467 2.4398 2.4467
2.4467 0.0000 0.0000
0.0000 0.0000 2.4467
0.0000 2.4398 0.0000
```

(4)
A geometry-optimized Th4IrRhS2 structure, computed with GGA-PBE.

Fermi-level density of states	8.36	states/eV/f.u.
formation energy without anion corrections	-1322	meV/atom
total energy	-64.73	eV/f.u.

Structure (POSCAR):
```
Th4IrRhS2
1.0
4.0739 0.0000 0.0000
0.0000 7.4681 -0.3128
0.0000 2.4782 6.5876
Th Ir S Rh
4 1 2 1
Cartesian
2.0370 3.8398 4.8177
2.0370 6.1065 1.4571
0.0001 7.3466 4.7374
4.0739 2.5997 1.5374
0.0000 4.9731 3.1375
2.0370 1.2391 3.2938
0.0000 2.4782 6.5876
2.0370 3.7340 -0.1564
```

Question: The highest formation energy without anion corrections belongs to which entry?
Answer: SnIr2RhS

Question: What is the formula in the third record?
Answer: SnIr2RhS

Question: Which value of formation energy without anion corrections does entry 2 give?
Answer: 498 meV/atom

Question: Which formula does entry 1 have?
Answer: IrRhS